This record from OQMD describes crystalline SmSnAs at its relaxed geometry. The functional is PBE.

Values from the calculation:
spin magnetization = 0.0 μB per formula unit
calculated volume = 86 Å³/f.u.
raw total energy = -4.93 eV per atom

Cell: 4.957 4.957 4.957 Å, 60.00 60.00 60.00°
Atoms (fractional coordinates):
Sm 0.000 0.000 0.000
Sn 0.500 0.500 0.500
As 0.250 0.250 0.250

=====

This record from OQMD describes crystalline SmSnAs at its relaxed geometry. The functional is PBE.

Values from the calculation:
spin magnetization = 0.0 μB per formula unit
calculated volume = 91 Å³/f.u.
raw total energy = -4.70 eV per atom

Cell: 5.042 5.042 5.042 Å, 60.00 60.00 60.00°
Atoms (fractional coordinates):
Sm 0.000 0.000 0.000
Sn 0.250 0.250 0.250
As 0.750 0.750 0.750

=====

> What is the raw total energy in the first record?

-4.93 eV per atom

=====

> What is the raw total energy in the first record?

-4.93 eV per atom

=====

> Number 2 is which compound?

SmSnAs